The following is a PBE calculation of a relaxed structure of Li2Mg2Ir, from Alexandria.

As for the raw total energy: -3.17 eV per atom. As for the total magnetic moment: 0.0 μB/f.u.

The space group is P4/mbm (No. 127) and the conventional cell measures 6.2725, 6.2725 and 4.0866 Å, with angles of 90.00, 90.00 and 90.00 degrees. The inequivalent atoms are Li at (0.1284, 0.3716, 0.0000), Mg at (0.1946, 0.6946, 0.5000) and Ir at (0.0000, 0.0000, 0.0000).